<i>
The following is a PBE calculation of a relaxed Pt2SeS crystal, from Alexandria via LeMat-Bulk.

Cell: 4.839 4.839 7.687 Å, 71.65 71.65 90.00°
Fractional positions:
1 Pt 0.198 0.625 0.250
2 Pt 0.552 0.125 0.250
3 Pt 0.875 0.802 0.750
4 Pt 0.375 0.448 0.750
5 S 0.500 0.500 0.000
6 S 0.250 0.750 0.500
7 Se 0.000 0.000 0.000
8 Se 0.750 0.250 0.500

Symmetry: I-42d (122)
Calculated volume in Å³/cell: 161

<ii>
The following is a PBE calculation of a relaxed Pt2SeS crystal, from Alexandria via LeMat-Bulk.

Cell: 4.510 4.510 4.510 Å, 60.00 60.00 60.00°
Fractional positions:
1 Pt 0.250 0.250 0.250
2 Pt 0.750 0.750 0.750
3 S 0.000 0.000 0.000
4 Se 0.500 0.500 0.500

Symmetry: Fm-3m (225)
Calculated volume in Å³/cell: 65

The structure with the greatest stability is <i>.